P.
Computed, not measured: a relaxed structure of Sb3TeAu at the PBE-GGA level of DFT.

Results
theoretical density	7.29	g/cm³

a = 5.3965 Å, b = 5.3965 Å, c = 5.3965 Å
α = 90.00°, β = 90.00°, γ = 90.00°
Space group Pm-3m (No. 221)
Inequivalent atoms, fractional coordinates:
Sb: 0.0000 0.0000 0.5000 x3
Te: 0.5000 0.5000 0.5000 x1
Au: 0.0000 0.0000 0.0000 x1

=====

Q.
Computed, not measured: a relaxed structure of Sb3TeAu at the PBE-GGA level of DFT.

Results
theoretical density	7.69	g/cm³

a = 10.1580 Å, b = 16.5176 Å, c = 7.1064 Å
α = 90.00°, β = 90.95°, γ = 90.00°
Space group C2/c (No. 15)
Inequivalent atoms, fractional coordinates:
Sb: 0.1536 0.1930 0.0682 x8
Sb: 0.1614 0.4364 0.0977 x8
Sb: 0.1773 0.3228 0.5932 x8
Te: 0.1430 0.0655 0.5688 x8
Au: 0.0000 0.3116 0.2500 x4
Au: 0.0000 0.4382 0.7500 x4

=====

Result of the stability comparison: Q is the most stable of them.

=====

P.
Computed, not measured: a relaxed structure of SbTe2Au2 at the PBE-GGA level of DFT.

Results
theoretical density	9.70	g/cm³

a = 4.6382 Å, b = 4.6382 Å, c = 12.2677 Å
α = 90.00°, β = 90.00°, γ = 90.00°
Space group I4/mmm (No. 139)
Inequivalent atoms, fractional coordinates:
Sb: 0.0000 0.0000 0.0000 x2
Te: 0.0000 0.5000 0.2500 x4
Au: 0.0000 0.0000 0.3918 x4

=====

Q.
Computed, not measured: a relaxed structure of SbTe2Au2 at the PBE-GGA level of DFT.

Results
theoretical density	10.55	g/cm³

a = 7.8879 Å, b = 7.8879 Å, c = 3.9010 Å
α = 90.00°, β = 90.00°, γ = 90.00°
Space group P4/mbm (No. 127)
Inequivalent atoms, fractional coordinates:
Sb: 0.0000 0.0000 0.0000 x2
Te: 0.1765 0.3235 0.5000 x4
Au: 0.1283 0.6283 0.0000 x4

=====

Result of the stability comparison: Q is the most stable of them.